## Tl2SiMo (GGA-PBE)

Data for Tl2SiMo after structural relaxation.

Output
- N(E_F) (states/eV/f.u.) = 2.97
- calculated volume (Å³ per cell) = 82.59
- formation energy from raw total energies (meV per atom) = 877
- density (g cm⁻³) = 10.71
- symmetry = No. 12

Cell: 5.7708 5.7708 3.1581 Å, 78.27 78.27 120.57°
With the nearest neighbours (Å) after each atom.
Sites, in units of the cell vectors:
Tl (0.5000, 0.5000, 0.0000)  4 Tl 2.86-3.16, 2 Si 2.99, 2 Mo 2.99
Si (0.0000, 0.5000, 0.5000)  2 Mo 2.86, 4 Tl 2.99, 2 Si 3.16
Mo (0.5000, 0.0000, 0.5000)  2 Si 2.86, 4 Tl 2.99, 2 Mo 3.16
Tl (0.0000, 0.0000, 0.0000)  4 Tl 2.86-3.16, 2 Mo 2.99, 2 Si 2.99

***

## CdTeMo2 (GGA-PBE)

Data for CdTeMo2 after structural relaxation.

Output
- N(E_F) (states/eV/f.u.) = 3.61
- calculated volume (Å³ per cell) = 166.70
- formation energy from raw total energies (meV per atom) = 759
- density (g cm⁻³) = 8.60
- symmetry = No. 122

Cell: 4.0740 4.0740 10.4486 Å, 78.76 78.76 90.00°
With the nearest neighbours (Å) after each atom.
Sites, in units of the cell vectors:
Te (0.0000, 0.0000, 0.0000)  4 Cd 2.88, 4 Mo 2.99
Mo (0.3750, 0.4328, 0.7500)  2 Mo 2.57, 2 Cd 2.82
Mo (0.5672, 0.1250, 0.2500)  2 Mo 2.57, 2 Cd 2.82
Cd (0.2500, 0.7500, 0.5000)  4 Mo 2.82, 4 Te 2.88
Mo (0.8750, 0.8172, 0.7500)  2 Mo 2.57, 2 Cd 2.82
Te (0.7500, 0.2500, 0.5000)  4 Cd 2.88, 4 Mo 2.99
Cd (0.5000, 0.5000, 0.0000)  4 Mo 2.82, 4 Te 2.88
Mo (0.1828, 0.6250, 0.2500)  2 Mo 2.57, 2 Cd 2.82

***

## U3Tl3FeTe8 (GGA-PBE)

Data for U3Tl3FeTe8 after structural relaxation.

Output
- N(E_F) (states/eV/f.u.) = 21.59
- calculated volume (Å³ per cell) = 534.80
- formation energy from raw total energies (meV per atom) = -402
- density (g cm⁻³) = 7.46
- symmetry = No. 166

Cell: 8.5380 8.5355 9.8035 Å, 115.81 90.00 120.01°
With the nearest neighbours (Å) after each atom.
Sites, in units of the cell vectors:
Te (0.7746, 0.0233, 0.2975)  1 Fe 2.90, 2 U 3.06
Te (0.7514, 0.9767, 0.7025)  1 Fe 2.90, 2 U 3.06
U (0.5000, 0.0000, 0.5000)  6 Te 3.06-3.08
Te (0.2254, 0.4509, 0.7022)  1 Fe 2.90, 2 U 3.06
Tl (0.0000, 0.0000, 0.0000)  6 Te 3.43-3.48
Te (0.7397, 0.4794, 0.7193)  3 U 3.08-3.09, 3 Tl 3.42-3.43
Te (0.7746, 0.5491, 0.2978)  1 Fe 2.90, 2 U 3.06
Fe (0.0000, 0.0000, 0.5000)  6 Te 2.90
Tl (0.5000, 0.5000, 0.0000)  6 Te 3.42-3.49
U (0.5000, 0.5000, 0.5000)  6 Te 3.06-3.09
Te (0.2254, 0.9767, 0.7025)  1 Fe 2.90, 2 U 3.06
Tl (0.0000, 0.5000, 0.0000)  6 Te 3.42-3.49
U (0.0000, 0.5000, 0.5000)  6 Te 3.06-3.09
Te (0.2603, 0.5206, 0.2807)  3 U 3.08-3.09, 3 Tl 3.42-3.43
Te (0.2486, 0.0233, 0.2975)  1 Fe 2.90, 2 U 3.06

***

## Lu5In4 (GGA-PBE)

Data for Lu5In4 after structural relaxation.

Output
- N(E_F) (states/eV/f.u.) = 5.76
- calculated volume (Å³ per cell) = 469.32
- ΔH_f (0 K) (eV per atom) = -0.39
- density (g cm⁻³) = 9.44
- symmetry = No. 193

Cell: 9.1069 9.1069 6.5342 Å, 90.00 90.00 120.00°
With the nearest neighbours (Å) after each atom.
Sites, in units of the cell vectors:
Lu (0.3333, 0.6667, 0.0000)  8 Lu 3.27-3.63, 6 In 3.31
Lu (0.7081, 0.7081, 0.7500)  7 In 3.07-3.35
In (0.0000, 0.0000, 0.0000)  6 Lu 3.12, 2 In 3.27
In (0.3714, 0.0000, 0.2500)  9 Lu 3.07-3.35
Lu (0.2919, 0.2919, 0.2500)  7 In 3.07-3.35
In (0.0000, 0.0000, 0.5000)  6 Lu 3.12, 2 In 3.27
Lu (0.0000, 0.7081, 0.2500)  7 In 3.07-3.35
In (0.0000, 0.3714, 0.2500)  9 Lu 3.07-3.35
Lu (0.2919, 0.0000, 0.7500)  7 In 3.07-3.35
In (0.6286, 0.0000, 0.7500)  9 Lu 3.07-3.35
Lu (0.6667, 0.3333, 0.0000)  8 Lu 3.27-3.63, 6 In 3.31
Lu (0.0000, 0.2919, 0.7500)  7 In 3.07-3.35
In (0.0000, 0.6286, 0.7500)  9 Lu 3.07-3.35
Lu (0.7081, 0.0000, 0.2500)  7 In 3.07-3.35
In (0.6286, 0.6286, 0.2500)  9 Lu 3.07-3.35
In (0.3714, 0.3714, 0.7500)  9 Lu 3.07-3.35
Lu (0.6667, 0.3333, 0.5000)  8 Lu 3.27-3.63, 6 In 3.31
Lu (0.3333, 0.6667, 0.5000)  8 Lu 3.27-3.63, 6 In 3.31

***

## RbLiHgCl4 (GGA-PBE)

Data for RbLiHgCl4 after structural relaxation.

Output
- N(E_F) (states/eV/f.u.) = 0.00
- calculated volume (Å³ per cell) = 411.43
- formation energy from raw total energies (meV per atom) = -1318
- density (g cm⁻³) = 3.51
- symmetry = No. 11

Cell: 6.4463 7.2965 8.9505 Å, 90.00 102.23 90.00°
With the nearest neighbours (Å) after each atom.
Sites, in units of the cell vectors:
Cl (0.9088, 0.9937, 0.2787)  1 Li 2.41, 1 Hg 2.55
Cl (0.5394, 0.7500, 0.5442)  1 Li 2.40, 1 Hg 2.44
Hg (0.8111, 0.2500, 0.6257)  3 Cl 2.44-2.55
Cl (0.6377, 0.2500, 0.8848)  1 Li 2.35
Cl (0.4606, 0.2500, 0.4558)  1 Li 2.40, 1 Hg 2.44
Cl (0.9088, 0.5063, 0.2787)  1 Li 2.41, 1 Hg 2.55
Cl (0.0912, 0.0063, 0.7213)  1 Li 2.41, 1 Hg 2.55
Rb (0.2291, 0.2500, 0.0797)  8 Cl 3.38-3.75, 1 Li 3.70
Rb (0.7709, 0.7500, 0.9203)  8 Cl 3.38-3.75, 1 Li 3.70
Li (0.6693, 0.7500, 0.3119)  4 Cl 2.35-2.41
Cl (0.0912, 0.4937, 0.7213)  1 Li 2.41, 1 Hg 2.55
Li (0.3307, 0.2500, 0.6881)  4 Cl 2.35-2.41
Cl (0.3623, 0.7500, 0.1152)  1 Li 2.35
Hg (0.1889, 0.7500, 0.3743)  3 Cl 2.44-2.55

***

## Pm5AgPd2 (GGA-PBE)

Data for Pm5AgPd2 after structural relaxation.

Output
- N(E_F) (states/eV/f.u.) = 8.20
- calculated volume (Å³ per cell) = 436.49
- ΔH_f (0 K) (eV per atom) = -0.46
- density (g cm⁻³) = 7.96
- symmetry = No. 140

Cell: 8.0973 8.0973 8.7807 Å, 117.46 117.46 90.00°
With the nearest neighbours (Å) after each atom.
Sites, in units of the cell vectors:
Pd (0.8709, 0.6291, 0.0000)  1 Pd 2.96, 8 Pm 3.03-3.18
Pm (0.9795, 0.4795, 0.2825)  3 Pd 3.03-3.05, 2 Ag 3.36
Pm (0.6970, 0.1970, 0.7175)  3 Pd 3.03-3.05, 2 Ag 3.36
Ag (0.2500, 0.2500, 0.5000)  10 Pm 3.33-3.36
Pm (0.3030, 0.8030, 0.2825)  3 Pd 3.03-3.05, 2 Ag 3.36
Pm (0.0205, 0.5205, 0.7175)  3 Pd 3.03-3.05, 2 Ag 3.36
Pm (0.8030, 0.9795, 0.2825)  3 Pd 3.03-3.05, 2 Ag 3.36
Pm (0.4795, 0.3030, 0.2825)  3 Pd 3.03-3.05, 2 Ag 3.36
Pd (0.6291, 0.1291, 0.0000)  1 Pd 2.96, 8 Pm 3.03-3.18
Ag (0.7500, 0.7500, 0.5000)  10 Pm 3.33-3.36
Pm (0.5205, 0.6970, 0.7175)  3 Pd 3.03-3.05, 2 Ag 3.36
Pd (0.3709, 0.8709, 0.0000)  1 Pd 2.96, 8 Pm 3.03-3.18
Pm (0.1970, 0.0205, 0.7175)  3 Pd 3.03-3.05, 2 Ag 3.36
Pd (0.1291, 0.3709, 0.0000)  1 Pd 2.96, 8 Pm 3.03-3.18
Pm (0.0000, 0.0000, 0.0000)  4 Pd 3.18, 2 Ag 3.33
Pm (0.5000, 0.5000, 0.0000)  4 Pd 3.18, 2 Ag 3.33

***

## InHg4Te (GGA-PBE)

Data for InHg4Te after structural relaxation.

Output
- N(E_F) (states/eV/f.u.) = 5.08
- calculated volume (Å³ per cell) = 174.81
- formation energy from raw total energies (meV per atom) = 126
- density (g cm⁻³) = 9.92
- symmetry = No. 216

Cell: 6.2761 6.2761 6.2761 Å, 60.00 60.00 60.00°
With the nearest neighbours (Å) after each atom.
Sites, in units of the cell vectors:
In (0.7500, 0.7500, 0.7500)  12 Hg 3.68, 4 Te 3.84
Hg (0.3749, 0.8754, 0.3749)  6 Hg 3.13-3.14
Hg (0.3749, 0.3749, 0.3749)  6 Hg 3.13-3.14
Hg (0.8754, 0.3749, 0.3749)  6 Hg 3.13-3.14
Te (0.0000, 0.0000, 0.0000)  12 Hg 3.68, 4 In 3.84
Hg (0.3749, 0.3749, 0.8754)  6 Hg 3.13-3.14

***

## Li2TaIn (GGA-PBE)

Data for Li2TaIn after structural relaxation.

Output
- N(E_F) (states/eV/f.u.) = 2.05
- calculated volume (Å³ per cell) = 71.90
- ΔH_f (0 K) (eV per atom) = 0.39
- density (g cm⁻³) = 7.15
- symmetry = No. 216

Cell: 4.6692 4.6692 4.6692 Å, 120.07 120.07 89.88°
With the nearest neighbours (Å) after each atom.
Sites, in units of the cell vectors:
Li (0.2500, 0.7500, 0.5000)  4 Ta 2.86, 4 Li 2.86
In (0.7500, 0.2500, 0.5000)  4 Ta 2.86, 4 Li 2.86
Li (0.0000, 0.0000, 0.0000)  4 Li 2.86, 4 In 2.86
Ta (0.5000, 0.5000, 0.0000)  4 In 2.86, 4 Li 2.86

***

## Cs3La3HfSe8 (GGA-PBE)

Data for Cs3La3HfSe8 after structural relaxation.

Output
- N(E_F) (states/eV/f.u.) = 0.00
- calculated volume (Å³ per cell) = 557.07
- formation energy from raw total energies (meV per atom) = -1715
- density (g cm⁻³) = 4.85
- symmetry = No. 166

Cell: 8.6778 8.6794 9.9044 Å, 116.02 90.00 119.99°
With the nearest neighbours (Å) after each atom.
Sites, in units of the cell vectors:
Se (0.2109, 0.9679, 0.6787)  1 Hf 2.74, 2 La 3.04
Se (0.7571, 0.9679, 0.6787)  1 Hf 2.74, 2 La 3.04
La (0.5000, 0.0000, 0.5000)  6 Se 3.00-3.04
La (0.5000, 0.5000, 0.5000)  6 Se 3.00-3.04
Se (0.7309, 0.4618, 0.6926)  3 La 3.00
La (0.0000, 0.5000, 0.5000)  6 Se 3.00-3.04
Se (0.7891, 0.5782, 0.3213)  1 Hf 2.74, 2 La 3.04
Se (0.2691, 0.5382, 0.3074)  3 La 3.00
Cs (0.5000, 0.5000, 0.0000)  6 Se 3.63-3.64
Cs (0.0000, 0.5000, 0.0000)  6 Se 3.63-3.64
Hf (0.0000, 0.0000, 0.5000)  6 Se 2.74
Se (0.2109, 0.4218, 0.6787)  1 Hf 2.74, 2 La 3.04
Se (0.7891, 0.0321, 0.3213)  1 Hf 2.74, 2 La 3.04
Cs (0.0000, 0.0000, 0.0000)  6 Se 3.63-3.64
Se (0.2429, 0.0321, 0.3213)  1 Hf 2.74, 2 La 3.04